Entry 1:
DFT (meta-GGA SCAN) results for a crystal of CdOs2Pb relaxed with PBEsol.

The formation enthalpy at 0 K comes out at 460.1 kJ/mol of formula units. As for the crystal system: cubic. For the excess energy over the best structure of this formula in the dataset, the calculation gives 0.070 eV/atom.

The space group is F-43m (No. 216) and the conventional cell measures 6.5468, 6.5468 and 6.5468 Å, with angles of 90.00, 90.00 and 90.00 degrees. The asymmetric unit holds Cd at (0.0000, 0.0000, 0.0000), Os at (0.0000, 0.0000, 0.5000), Os at (0.2500, 0.2500, 0.7500) and Pb at (0.2500, 0.2500, 0.2500).

Entry 2:
DFT (meta-GGA SCAN) results for a crystal of Cd3OsPb relaxed with PBEsol.

The formation enthalpy at 0 K comes out at 364.9 kJ/mol of formula units. As for the crystal system: cubic.

The space group is Pm-3m (No. 221) and the conventional cell measures 5.1155, 5.1155 and 5.1155 Å, with angles of 90.00, 90.00 and 90.00 degrees. The asymmetric unit holds Cd at (0.0000, 0.0000, 0.5000), Os at (0.0000, 0.0000, 0.0000) and Pb at (0.5000, 0.5000, 0.5000).

Entry 3:
DFT (meta-GGA SCAN) results for a crystal of CdOs2Pb relaxed with PBEsol.

The formation enthalpy at 0 K comes out at 433.0 kJ/mol of formula units. As for the crystal system: orthorhombic. For the excess energy over the best structure of this formula in the dataset, the calculation gives 0.000 eV/atom.

The space group is Immm (No. 71) and the conventional cell measures 3.0491, 4.9927 and 9.1814 Å, with angles of 90.00, 90.00 and 90.00 degrees. The asymmetric unit holds Cd at (0.0000, 0.0000, 0.0000), Os at (0.0000, 0.5000, 0.2423) and Pb at (0.0000, 0.0000, 0.5000).

Entry 4:
DFT (meta-GGA SCAN) results for a crystal of CdOs2Pb relaxed with PBEsol.

The formation enthalpy at 0 K comes out at 434.9 kJ/mol of formula units. As for the crystal system: tetragonal. For the excess energy over the best structure of this formula in the dataset, the calculation gives 0.005 eV/atom.

The space group is P4/mmm (No. 123) and the conventional cell measures 4.5968, 4.5968 and 3.2219 Å, with angles of 90.00, 90.00 and 90.00 degrees. The asymmetric unit holds Cd at (0.0000, 0.0000, 0.0000), Os at (0.0000, 0.5000, 0.5000) and Pb at (0.5000, 0.5000, 0.0000).

Entry 5:
DFT (meta-GGA SCAN) results for a crystal of Cd2OsPb relaxed with PBEsol.

The formation enthalpy at 0 K comes out at 300.6 kJ/mol of formula units. As for the crystal system: cubic.

The space group is F-43m (No. 216) and the conventional cell measures 6.7823, 6.7823 and 6.7823 Å, with angles of 90.00, 90.00 and 90.00 degrees. The asymmetric unit holds Cd at (0.0000, 0.0000, 0.0000), Cd at (0.2500, 0.2500, 0.2500), Os at (0.0000, 0.0000, 0.5000) and Pb at (0.2500, 0.2500, 0.7500).

Entry 6:
DFT (meta-GGA SCAN) results for a crystal of CdOs3Pd relaxed with PBEsol.

The formation enthalpy at 0 K comes out at 1654.4 kJ/mol of formula units. As for the crystal system: cubic.

The space group is Pm-3m (No. 221) and the conventional cell measures 4.7010, 4.7010 and 4.7010 Å, with angles of 90.00, 90.00 and 90.00 degrees. The asymmetric unit holds Cd at (0.0000, 0.0000, 0.0000), Os at (0.0000, 0.0000, 0.5000) and Pd at (0.5000, 0.5000, 0.5000).

Entry 7:
DFT (meta-GGA SCAN) results for a crystal of Cd2OsPt relaxed with PBEsol.

The formation enthalpy at 0 K comes out at 135.4 kJ/mol of formula units. As for the crystal system: orthorhombic.

The space group is Cmm2 (No. 35) and the conventional cell measures 2.8184, 4.8615 and 9.8190 Å, with angles of 90.00, 90.00 and 90.00 degrees. The asymmetric unit holds Cd at (0.0000, 0.0000, 0.0000), Cd at (0.0000, 0.5000, 0.2764), Os at (0.0000, 0.0000, 0.5244) and Pt at (0.0000, 0.5000, 0.7524).

Entry 8:
DFT (meta-GGA SCAN) results for a crystal of Cd2OsPt relaxed with PBEsol.

The formation enthalpy at 0 K comes out at 123.2 kJ/mol of formula units. As for the crystal system: monoclinic.

The space group is P2/m (No. 10) and the conventional cell measures 2.7337, 4.7340 and 5.0847 Å, with angles of 90.00, 92.25 and 90.00 degrees. The asymmetric unit holds Cd at (0.2328, 0.0000, 0.2494), Os at (0.5000, 0.5000, 0.0000) and Pt at (0.0000, 0.5000, 0.5000).

Entry 9:
DFT (meta-GGA SCAN) results for a crystal of CdOs2Pt relaxed with PBEsol.

The formation enthalpy at 0 K comes out at 162.5 kJ/mol of formula units. As for the crystal system: monoclinic.

The space group is P2/m (No. 10) and the conventional cell measures 4.7831, 2.7404 and 4.8993 Å, with angles of 90.00, 109.25 and 90.00 degrees. The asymmetric unit holds Cd at (0.0000, 0.0000, 0.0000), Os at (0.0000, 0.5000, 0.5000), Os at (0.5000, 0.0000, 0.5000) and Pt at (0.5000, 0.5000, 0.0000).

Entry 10:
DFT (meta-GGA SCAN) results for a crystal of CdOs2Pt relaxed with PBEsol.

The formation enthalpy at 0 K comes out at 219.7 kJ/mol of formula units. As for the crystal system: monoclinic.

The space group is C2/m (No. 12) and the conventional cell measures 5.3946, 9.7010 and 2.7274 Å, with angles of 90.00, 119.53 and 90.00 degrees. The asymmetric unit holds Cd at (0.0000, 0.0000, 0.0000), Os at (0.2500, 0.2500, 0.5000) and Pt at (0.0000, 0.5000, 0.0000).

Entry 11:
DFT (meta-GGA SCAN) results for a crystal of Cd2OsPt relaxed with PBEsol.

The formation enthalpy at 0 K comes out at 132.0 kJ/mol of formula units. As for the crystal system: orthorhombic.

The space group is Immm (No. 71) and the conventional cell measures 2.8050, 4.8796 and 9.6457 Å, with angles of 90.00, 90.00 and 90.00 degrees. The asymmetric unit holds Cd at (0.0000, 0.0000, 0.2477), Os at (0.0000, 0.5000, 0.0000) and Pt at (0.0000, 0.5000, 0.5000).

Entry 12:
DFT (meta-GGA SCAN) results for a crystal of CdOsPt2 relaxed with PBEsol.

The formation enthalpy at 0 K comes out at 114.2 kJ/mol of formula units. As for the crystal system: orthorhombic.

The space group is Cmm2 (No. 35) and the conventional cell measures 2.7555, 4.7609 and 9.5819 Å, with angles of 90.00, 90.00 and 90.00 degrees. The asymmetric unit holds Cd at (0.0000, 0.0000, 0.0000), Os at (0.0000, 0.5000, 0.7409), Pt at (0.0000, 0.0000, 0.5044) and Pt at (0.0000, 0.5000, 0.2552).

no.,magnetization (μB/f.u.)
1,0.0
2,0.0
3,0.0
4,0.7
5,0.0
6,2.3
7,0.8
8,0.0
9,0.0
10,1.5
11,0.0
12,0.8